Computed, not measured: an optimized crystal structure of ReAsHSe2 at the PBE-GGA level of DFT.

Final energy (eV/atom): -4.561
SG: P4/mmm (123)
Excess energy over the best structure of this formula in the dataset (eV/atom): 0.000
V (Å³/atom): 23.5

Lattice parameters (Å, degrees): 4.920 4.920 4.846 90.00 90.00 90.00
Fractional positions:
Re (0.000, 0.000, 0.000)
As (0.000, 0.000, 0.500)
H (0.500, 0.500, 0.500)
Se (0.000, 0.500, 0.000)
Se (0.500, 0.000, 0.000)


Computed, not measured: an optimized crystal structure of ReAsHSe2 at the PBE-GGA level of DFT.

Final energy (eV/atom): -4.546
SG: P4/mmm (123)
Excess energy over the best structure of this formula in the dataset (eV/atom): 0.016
V (Å³/atom): 14.6

Lattice parameters (Å, degrees): 4.651 4.651 3.384 90.00 90.00 90.00
Fractional positions:
Re (0.000, 0.000, 0.000)
As (0.500, 0.500, 0.000)
H (0.500, 0.500, 0.500)
Se (0.000, 0.500, 0.500)
Se (0.500, 0.000, 0.500)


Computed, not measured: an optimized crystal structure of Zr2ReAsH at the PBE-GGA level of DFT.

Final energy (eV/atom): -7.324
SG: P4/mmm (123)
V (Å³/atom): 17.9

Lattice parameters (Å, degrees): 5.147 5.147 3.375 90.00 90.00 90.00
Fractional positions:
Zr (0.000, 0.500, 0.000)
Zr (0.500, 0.000, 0.000)
Re (0.000, 0.000, 0.000)
As (0.500, 0.500, 0.500)
H (0.000, 0.000, 0.500)


Computed, not measured: an optimized crystal structure of As3HRh at the PBE-GGA level of DFT.

Final energy (eV/atom): -4.451
SG: Pm-3m (221)
Excess energy over the best structure of this formula in the dataset (eV/atom): 0.000
V (Å³/atom): 14.5

Lattice parameters (Å, degrees): 4.171 4.171 4.171 90.00 90.00 90.00
Fractional positions:
As (0.000, 0.000, 0.500)
As (0.000, 0.500, 0.000)
As (0.500, 0.000, 0.000)
H (0.000, 0.000, 0.000)
Rh (0.500, 0.500, 0.500)